No. 1
Compound: Dy5Bi4B
Source: Alexandria via LeMat-Bulk
Functional: PBE
Structure: relaxed

a = 9.6780 Å, b = 9.6780 Å, c = 6.2166 Å
α = 90.00°, β = 90.00°, γ = 90.00°
Space group I4 (No. 79)
Asymmetric unit:
Dy1 0.0000 0.0000 0.0000
Dy2 0.0965 0.2539 0.4557
Bi1 0.0801 0.3135 0.9539
B1 0.0000 0.0000 0.4204

crystal system = tetragonal
ΔH_f (0 K) = -52.9 kJ per mole of atoms
DOS(E_F) = 8.83 states/eV/f.u.

No. 2
Compound: Nd4Te2AuBr
Source: Alexandria via LeMat-Bulk
Functional: PBE
Structure: relaxed

a = 7.6994 Å, b = 4.2672 Å, c = 7.8003 Å
α = 90.00°, β = 107.86°, γ = 90.00°
Space group P2/m (No. 10)
Asymmetric unit:
Nd1 0.2314 0.0000 0.2310
Nd2 0.2414 0.5000 0.7563
Te1 0.0000 0.0000 0.5000
Te2 0.5000 0.5000 0.5000
Au1 0.0000 0.5000 0.0000
Br1 0.5000 0.0000 0.0000

calculated total energy = -39.965 eV per cell
crystal system = monoclinic
DOS(E_F) = 3.24 states/eV/f.u.

No. 3
Compound: PdPtS2N
Source: Alexandria via LeMat-Bulk
Functional: PBE
Structure: relaxed

a = 4.8468 Å, b = 4.8468 Å, c = 3.6261 Å
α = 90.00°, β = 90.00°, γ = 90.00°
Space group P4/mmm (No. 123)
Asymmetric unit:
Pd1 0.0000 0.0000 0.0000
Pt1 0.5000 0.5000 0.5000
S1 0.0000 0.5000 0.0000
N1 0.0000 0.0000 0.5000

calculated total energy = -21.830 eV per cell
crystal system = tetragonal
DOS(E_F) = 5.64 states/eV/f.u.

No. 4
Compound: CsBe2F5
Source: Alexandria via LeMat-Bulk
Functional: PBE
Structure: relaxed

a = 8.0437 Å, b = 8.0437 Å, c = 8.0437 Å
α = 90.00°, β = 90.00°, γ = 90.00°
Space group P4_132 (No. 213)
Asymmetric unit:
Cs1 0.1250 0.3750 0.6250
Be1 0.1012 0.8988 0.3988
F1 0.0063 0.5063 0.9937
F2 0.0356 0.7144 0.3750

calculated total energy = -173.541 eV per cell
crystal system = cubic
DOS(E_F) = 0.00 states/eV/f.u.